Here is a crystal of Cs2As2OF10 relaxed with PBEsol from the Alexandria database. Energies are from SCAN.

Summary:
ΔE_f (raw)   -37.41 eV per formula unit

a = 5.5906 Å, b = 10.6483 Å, c = 9.0768 Å
α = 90.00°, β = 104.36°, γ = 90.00°
Last column: nearest neighbours and their distance in Å.
Space group P2_1/m (No. 11)
Unique sites:
Cs1 0.1781 0.0121 0.2531 (multiplicity 4)  10 F 3.09-3.25, 1 O 3.36
As1 0.2804 0.2500 0.6123 (multiplicity 2)  5 F 1.76-1.79, 1 O 1.79
As2 0.4882 0.2500 0.9828 (multiplicity 2)  5 F 1.77-1.78, 1 O 1.80
O1 0.4886 0.7500 0.2114 (multiplicity 2)  2 As 1.79-1.80
F1 0.0222 0.2500 0.6908 (multiplicity 2)  1 As 1.76
F2 0.0719 0.2500 0.4289 (multiplicity 2)  1 As 1.78
F3 0.2595 0.1311 0.9531 (multiplicity 4)  1 As 1.77
F4 0.2718 0.0820 0.6055 (multiplicity 4)  1 As 1.79
F5 0.2785 0.6336 0.9745 (multiplicity 4)  1 As 1.77
F6 0.4779 0.7500 0.4803 (multiplicity 2)  1 As 1.76
F7 0.4816 0.2500 0.1773 (multiplicity 2)  1 As 1.78